# Li2CrIO6 | Alexandria via LeMat-Bulk | PBE with a Hubbard U | relaxed
# **SG**: P4mm, No. 99
# **Raw total energy**: -53.885 eV/cell
data_Li2CrIO6
_cell_length_a 4.8219
_cell_length_b 5.4428
_cell_length_c 5.4428
_cell_angle_alpha 90.00
_cell_angle_beta 90.00
_cell_angle_gamma 90.00
_symmetry_space_group_name_H-M 'P 1'
_symmetry_Int_Tables_number 1
loop_
_symmetry_equiv_pos_as_xyz
'x,y,z'
loop_
_atom_site_label
_atom_site_type_symbol
_atom_site_fract_x
_atom_site_fract_y
_atom_site_fract_z
Li1 Li 0.8723 0.5000 0.0000
Li2 Li 0.8723 0.0000 0.5000
Cr1 Cr 0.6005 0.5000 0.5000
I1 I 0.6489 0.0000 0.0000
O1 O 0.7269 0.2647 0.2647
O2 O 0.7269 0.2647 0.7353
O3 O 0.2692 0.5000 0.5000
O4 O 0.2760 0.0000 0.0000
O5 O 0.7269 0.7353 0.7353
O6 O 0.7269 0.7353 0.2647